Entry 1:
The following is a DFT calculation (PBE) of a relaxed structure of K2CeZrO6.

Cell: 8.706 8.706 8.706 Å, 90.00 90.00 90.00°
Space group Fm-3m (No. 225)
Asymmetric unit:
K: 0.250 0.250 0.250 [8 per cell]
Ce: 0.000 0.000 0.000 [4 per cell]
Zr: 0.000 0.000 0.500 [4 per cell]
O: 0.000 0.000 0.257 [24 per cell]

## Properties
uncorrected energy: -7.004 eV per atom
E_form (uncorrected): -2.3610 eV/atom



Entry 2:
The following is a DFT calculation (PBE) of a relaxed structure of NdErPd.

Cell: 3.588 6.655 7.243 Å, 106.39 90.03 105.61°
Space group P-1 (No. 2)
Asymmetric unit:
Nd: 0.140 0.279 0.069 [2 per cell]
Er: 0.137 0.274 0.567 [2 per cell]
Pd: 0.494 0.989 0.276 [2 per cell]

## Properties
uncorrected energy: -5.358 eV per atom
formation energy: -0.517 eV/atom



Entry 3:
The following is a DFT calculation (PBE) of a relaxed structure of TbGd2Hf.

Cell: 4.865 4.865 4.857 Å, 90.00 90.00 90.00°
Space group P4/mmm (No. 123)
Asymmetric unit:
Tb: 0.000 0.000 0.000 [1 per cell]
Gd: 0.000 0.500 0.500 [2 per cell]
Hf: 0.500 0.500 0.000 [1 per cell]

## Properties
uncorrected energy: -10.535 eV per atom
formation energy: 0.151 eV/atom



Entry 4:
The following is a DFT calculation (PBE) of a relaxed structure of Li2Ti3SbO8.

Cell: 5.9877 5.9877 10.5225 Å, 90.00 90.00 120.00°
Space group P6_3mc (No. 186)
Asymmetric unit:
Li: 0.0000 0.0000 0.0000 [2 per cell]
Li: 0.3333 0.6667 0.3937 [2 per cell]
Ti: 0.1711 0.3423 0.7254 [6 per cell]
Sb: 0.3333 0.6667 0.0153 [2 per cell]
O: 0.0000 0.0000 0.3187 [2 per cell]
O: 0.0220 0.5110 0.8251 [6 per cell]
O: 0.1551 0.3102 0.1124 [6 per cell]
O: 0.3333 0.6667 0.6194 [2 per cell]

## Properties
uncorrected energy: -7.592 eV per atom
E_form (uncorrected): -2.4993 eV/atom